Record 1
Compound: Pt3ICl
Source: the Alexandria database
Functional: PBE-GGA
Structure: relaxed

Cell lengths 5.042, 5.042, 5.042 Å; angles 90.00, 90.00, 90.00 degrees
Fractional positions:
Pt (0.000, 0.000, 0.500)
Pt (0.000, 0.500, 0.000)
Pt (0.500, 0.000, 0.000)
I (0.000, 0.000, 0.000)
Cl (0.500, 0.500, 0.500)

Computed properties:
Space-group type: Pm-3m, No. 221

Record 2
Compound: PtI2Cl
Source: the Alexandria database
Functional: PBE-GGA
Structure: relaxed

Cell lengths 6.769, 6.769, 6.769 Å; angles 107.53, 107.53, 113.44 degrees
Fractional positions:
Pt (0.000, 0.000, 0.000)
Pt (0.750, 0.250, 0.500)
I (0.053, 0.625, 0.928)
I (0.375, 0.303, 0.428)
I (0.697, 0.125, 0.072)
I (0.875, 0.947, 0.572)
Cl (0.250, 0.750, 0.500)
Cl (0.500, 0.500, 0.000)

Computed properties:
Polymorph energy (0 for the lowest one) in meV/atom: 297.6
Space-group type: I-42d, No. 122

Record 3
Compound: PtICl6
Source: the Alexandria database
Functional: PBE-GGA
Structure: relaxed

Cell lengths 6.712, 6.712, 6.617 Å; angles 96.08, 96.08, 120.92 degrees
Fractional positions:
Pt (0.000, 0.000, 0.000)
I (0.500, 0.500, 0.500)
Cl (0.064, 0.339, 0.202)
Cl (0.242, 0.242, 0.759)
Cl (0.339, 0.064, 0.202)
Cl (0.661, 0.936, 0.798)
Cl (0.758, 0.758, 0.241)
Cl (0.936, 0.661, 0.798)

Computed properties:
Space-group type: C2/m, No. 12

| no. | energy (eV per cell) |
| --- | --- |
| 1 | -15.37 |
| 2 | -20.77 |
| 3 | -20.23 |